CoAs2BrF | GGA+U | relaxed

The size of the total moment is 1.6 μB/f.u. The uncorrected energy comes out at -3.3522 eV/atom.

The space group is P4/mmm (No. 123) and the conventional cell measures 4.544, 4.544 and 4.925 Å, with angles of 90.00, 90.00 and 90.00 degrees. Symmetry generates all atoms from Co at (0.000, 0.000, 0.000), As at (0.000, 0.500, 0.000), Br at (0.000, 0.000, 0.500) and F at (0.500, 0.500, 0.500).